# YIrAu2

A relaxed structure of YIrAu2 (PBE, the Alexandria database).

abc: 5.3391 5.3391 4.0876
angles: 67.48 67.48 45.07
Fractional coordinates of all 4 atoms:
1 Y 0.2500 0.2500 0.2500
2 Ir 0.7500 0.7500 0.7500
3 Au 0.9999 0.9999 0.0002
4 Au 0.5001 0.5001 0.4998

Values from the calculation:
DFT formation energy: -0.49 eV per atom
Energy above the most stable polymorph in this dataset: 0.0 kJ per mole of atoms
Electronic total energy: -5.961 eV/atom

***

# YIrAu

A relaxed structure of YIrAu (PBE, the Alexandria database).

abc: 5.2831 5.2831 5.2831
angles: 143.64 136.89 57.63
Fractional coordinates of all 3 atoms:
1 Ir 0.3325 0.3325 0.0000
2 Au 0.9937 0.9937 0.0000
3 Y 0.6738 0.6738 0.0000

Values from the calculation:
DFT formation energy: -0.45 eV per atom
Energy above the most stable polymorph in this dataset: 1.9 kJ per mole of atoms
Electronic total energy: -6.648 eV/atom

***

# YIr4Au

A relaxed structure of YIr4Au (PBE, the Alexandria database).

abc: 5.2916 5.2916 5.2916
angles: 60.00 60.00 60.00
Fractional coordinates of all 6 atoms:
1 Ir 0.3749 0.3749 0.3749
2 Ir 0.3749 0.8753 0.3749
3 Au 0.0000 0.0000 0.0000
4 Y 0.7500 0.7500 0.7500
5 Ir 0.3749 0.3749 0.8753
6 Ir 0.8753 0.3749 0.3749

Values from the calculation:
DFT formation energy: -0.24 eV per atom
Electronic total energy: -7.768 eV/atom

***

# Y5Ir2Au2

A relaxed structure of Y5Ir2Au2 (PBE, the Alexandria database).

abc: 7.6117 7.4785 8.5215
angles: 116.03 90.00 90.00
Fractional coordinates of all 18 atoms:
1 Ir 0.8702 0.3720 0.0000
2 Au 0.5000 0.2919 0.5838
3 Y 0.3282 0.9567 0.2590
4 Y 0.6718 0.3023 0.2590
5 Y 0.0000 0.0000 0.0000
6 Y 0.3282 0.6977 0.7410
7 Y 0.1718 0.4567 0.2590
8 Ir 0.6298 0.8720 0.0000
9 Au 0.0000 0.2081 0.4162
10 Ir 0.1298 0.6280 0.0000
11 Y 0.6718 0.0433 0.7410
12 Y 0.8282 0.5433 0.7410
13 Y 0.1718 0.1977 0.7410
14 Y 0.5000 0.5000 0.0000
15 Au 0.5000 0.7081 0.4162
16 Ir 0.3702 0.1280 0.0000
17 Au 0.0000 0.7919 0.5838
18 Y 0.8282 0.8023 0.2590

Values from the calculation:
DFT formation energy: -0.81 eV per atom
Electronic total energy: -7.098 eV/atom

***

# YIrAu

A relaxed structure of YIrAu (PBE, the Alexandria database).

abc: 4.5960 4.5960 3.4013
angles: 90.00 90.00 120.00
Fractional coordinates of all 3 atoms:
1 Ir 0.6667 0.3333 0.1669
2 Au 0.0000 0.0000 0.1666
3 Y 0.3333 0.6667 0.6665

Values from the calculation:
DFT formation energy: -0.47 eV per atom
Energy above the most stable polymorph in this dataset: 0.0 kJ per mole of atoms
Electronic total energy: -6.667 eV/atom

***

# Y4Ir2Au

A relaxed structure of Y4Ir2Au (PBE, the Alexandria database).

abc: 4.9086 4.9086 8.4256
angles: 73.06 73.06 60.00
Fractional coordinates of all 7 atoms:
1 Au 0.0000 0.0000 0.0000
2 Ir 0.2502 0.2502 0.2495
3 Y 0.8717 0.8717 0.3850
4 Y 0.3791 0.3791 0.8627
5 Y 0.1283 0.1283 0.6150
6 Y 0.6209 0.6209 0.1373
7 Ir 0.7498 0.7498 0.7505

Values from the calculation:
DFT formation energy: -0.77 eV per atom
Electronic total energy: -7.459 eV/atom

***

# Y5Ir2Au

A relaxed structure of Y5Ir2Au (PBE, the Alexandria database).

abc: 7.6596 7.6596 8.6534
angles: 116.27 116.27 90.00
Fractional coordinates of all 16 atoms:
1 Y 0.9747 0.4747 0.2761
2 Y 0.1986 0.0253 0.7239
3 Ir 0.8631 0.6369 0.0000
4 Y 0.4747 0.3014 0.2761
5 Ir 0.3631 0.8631 0.0000
6 Y 0.0000 0.0000 0.0000
7 Au 0.7500 0.7500 0.5000
8 Y 0.3014 0.8014 0.2761
9 Ir 0.6369 0.1369 0.0000
10 Y 0.5253 0.6986 0.7239
11 Au 0.2500 0.2500 0.5000
12 Y 0.5000 0.5000 0.0000
13 Ir 0.1369 0.3631 0.0000
14 Y 0.8014 0.9747 0.2761
15 Y 0.6986 0.1986 0.7239
16 Y 0.0253 0.5253 0.7239

Values from the calculation:
DFT formation energy: -0.76 eV per atom
Electronic total energy: -7.423 eV/atom

***

# YIrAu

A relaxed structure of YIrAu (PBE, the Alexandria database).

abc: 5.7758 5.7758 5.7841
angles: 79.66 129.85 122.55
Fractional coordinates of all 6 atoms:
1 Ir 0.2503 0.9442 0.1945
2 Y 0.7499 0.3708 0.1207
3 Au 0.5000 0.5000 0.5000
4 Ir 0.7497 0.0558 0.8055
5 Au 0.0000 0.0000 0.5000
6 Y 0.2501 0.6292 0.8793

Values from the calculation:
DFT formation energy: -0.38 eV per atom
Energy above the most stable polymorph in this dataset: 8.5 kJ per mole of atoms
Electronic total energy: -6.579 eV/atom